A plane-wave DFT calculation with GGA-PBE was carried out for crystalline Ba2Zn3In4Ge at its relaxed geometry.

Values from the calculation:
DOS(E_F)   4.27 states/eV per cell
Total magnetic moment   0.00 μB/cell
Total DFT energy (no corrections)   -26.408 eV/cell
DFT formation energy   -30.58 kJ/mol of atoms

POSCAR file:
```
Ba2Zn3In4Ge
1.0
4.8118 0.0000 0.0000
0.0000 4.8118 0.0000
0.0000 0.0000 11.5106
In Zn Ba Ge
4 3 2 1
Direct
0.0000 0.0000 0.0000
0.5000 0.5000 0.0000
0.5000 0.0000 0.6293
0.0000 0.5000 0.3707
0.0000 0.5000 0.1337
0.5000 0.0000 0.8663
0.0000 0.0000 0.5000
0.0000 0.5000 0.7429
0.5000 0.0000 0.2571
0.5000 0.5000 0.5000
```

***

A plane-wave DFT calculation with GGA-PBE was carried out for crystalline CuH2Ru at its relaxed geometry.

Values from the calculation:
DOS(E_F)   3.05 states/eV per cell
Total magnetic moment   0.23 μB/cell
Total DFT energy (no corrections)   -19.303 eV/cell

POSCAR file:
```
CuH2Ru
1.0
2.8741 0.0000 0.0000
1.4370 2.4890 0.0000
1.4370 0.8297 4.8371
H Cu Ru
2 1 1
Direct
0.8859 0.8859 0.3424
0.1141 0.1141 0.6576
0.0000 0.0000 0.0000
0.5000 0.5000 0.5000
```

***

A plane-wave DFT calculation with GGA-PBE was carried out for crystalline Tl2CuTeBr6 at its relaxed geometry.

Values from the calculation:
DOS(E_F)   5.50 states/eV per cell
Total magnetic moment   1.67 μB/cell
Total DFT energy (no corrections)   -53.563 eV/cell
Formation energy without anion corrections   -0.477 eV per atom

POSCAR file:
```
Tl2CuTeBr6
1.0
-4.4814 -0.4709 -6.3401
-6.8834 -0.4172 4.8965
-0.8441 11.1820 -0.2339
Tl Br Cu Te
4 12 2 2
Direct
0.0000 0.1652 0.7364
0.5000 0.8348 0.2364
0.5000 0.8348 0.7636
0.0000 0.1652 0.2636
0.2529 0.9415 0.0000
0.7565 0.4736 0.0000
0.2471 0.0585 0.5000
0.7471 0.9415 0.0000
0.7529 0.0585 0.5000
0.0000 0.7937 0.2936
0.2565 0.5264 0.5000
0.5000 0.2063 0.7936
0.2435 0.4736 0.0000
0.5000 0.2063 0.2064
0.0000 0.7937 0.7064
0.7435 0.5264 0.5000
0.5000 0.1652 0.0000
0.0000 0.8348 0.5000
0.5000 0.3126 0.5000
0.0000 0.6874 0.0000
```